1.
CdTe2Au at its PBEsol-relaxed geometry, computed with meta-GGA SCAN.

Calculated values
final energy = -43.750 eV per atom
theoretical density = 7.43 g/cm³
total magnetic moment = 0.00 μB/atom
raw formation energy = -0.2320 eV per atom
SG = I-42d (122)

CIF file:
```
data_CdTe2Au
_chemical_formula_sum 'Cd2 Te4 Au2'
_symmetry_space_group_name_H-M 'P 1'
_symmetry_Int_Tables_number 1
_symmetry_space_group_name_Hall 'P 1'
_cell_length_a 6.308
_cell_length_b 6.308
_cell_length_c 7.753
_cell_angle_alpha 114.00
_cell_angle_beta 114.00
_cell_angle_gamma 90.00
loop_
_atom_site_label
_atom_site_type_symbol
_atom_site_fract_x
_atom_site_fract_y
_atom_site_fract_z
_atom_site_occupancy
Au1 Au 0.250 0.750 0.500 1
Au2 Au 0.000 0.000 0.000 1
Te1 Te 0.357 0.875 0.250 1
Te2 Te 0.893 0.375 0.250 1
Te3 Te 0.625 0.643 0.750 1
Te4 Te 0.125 0.107 0.750 1
Cd1 Cd 0.500 0.500 0.000 1
Cd2 Cd 0.750 0.250 0.500 1
```


2.
CdTe2Au at its PBEsol-relaxed geometry, computed with meta-GGA SCAN.

Calculated values
final energy = -43.681 eV per atom
theoretical density = 9.40 g/cm³
total magnetic moment = 0.00 μB/atom
raw formation energy = -0.1628 eV per atom
SG = R-3m (166)

CIF file:
```
data_CdTe2Au
_chemical_formula_sum 'Cd1 Te2 Au1'
_symmetry_space_group_name_H-M 'P 1'
_symmetry_Int_Tables_number 1
_symmetry_space_group_name_Hall 'P 1'
_cell_length_a 4.117
_cell_length_b 4.117
_cell_length_c 7.199
_cell_angle_alpha 73.38
_cell_angle_beta 73.38
_cell_angle_gamma 60.00
loop_
_atom_site_label
_atom_site_type_symbol
_atom_site_fract_x
_atom_site_fract_y
_atom_site_fract_z
_atom_site_occupancy
Cd1 Cd 0.000 0.000 0.000 1
Au1 Au 0.500 0.500 0.500 1
Te1 Te 0.244 0.244 0.269 1
Te2 Te 0.756 0.756 0.731 1
```


3.
Cd2TeAu2 at its PBEsol-relaxed geometry, computed with meta-GGA SCAN.

Calculated values
final energy = -47.416 eV per atom
theoretical density = 11.40 g/cm³
total magnetic moment = 0.00 μB/atom
raw formation energy = -0.1370 eV per atom
SG = I4/mmm (139)

CIF file:
```
data_Cd2TeAu2
_chemical_formula_sum 'Cd2 Te1 Au2'
_symmetry_space_group_name_H-M 'P 1'
_symmetry_Int_Tables_number 1
_symmetry_space_group_name_Hall 'P 1'
_cell_length_a 3.899
_cell_length_b 3.899
_cell_length_c 7.664
_cell_angle_alpha 104.74
_cell_angle_beta 104.74
_cell_angle_gamma 90.00
loop_
_atom_site_label
_atom_site_type_symbol
_atom_site_fract_x
_atom_site_fract_y
_atom_site_fract_z
_atom_site_occupancy
Cd1 Cd 0.603 0.603 0.206 1
Cd2 Cd 0.397 0.397 0.794 1
Au1 Au 0.250 0.750 0.500 1
Au2 Au 0.750 0.250 0.500 1
Te1 Te 0.000 0.000 0.000 1
```


4.
ThCdAu2 at its PBEsol-relaxed geometry, computed with meta-GGA SCAN.

Calculated values
final energy = -66.876 eV per atom
E_form = -68.9 kJ/mol of atoms
theoretical density = 14.12 g/cm³
total magnetic moment = 0.00 μB/atom
SG = Fm-3m (225)

CIF file:
```
data_ThCdAu2
_chemical_formula_sum 'Th1 Cd1 Au2'
_symmetry_space_group_name_H-M 'P 1'
_symmetry_Int_Tables_number 1
_symmetry_space_group_name_Hall 'P 1'
_cell_length_a 4.971
_cell_length_b 4.971
_cell_length_c 4.971
_cell_angle_alpha 60.00
_cell_angle_beta 60.00
_cell_angle_gamma 60.00
loop_
_atom_site_label
_atom_site_type_symbol
_atom_site_fract_x
_atom_site_fract_y
_atom_site_fract_z
_atom_site_occupancy
Cd1 Cd 0.500 0.500 0.500 1
Th1 Th 0.000 0.000 0.000 1
Au1 Au 0.250 0.250 0.250 1
Au2 Au 0.750 0.750 0.750 1
```


5.
TiCd3Au at its PBEsol-relaxed geometry, computed with meta-GGA SCAN.

Calculated values
final energy = -34.294 eV per atom
E_form = 95.7 kJ/mol of atoms
theoretical density = 6.87 g/cm³
total magnetic moment = 0.51 μB/atom
SG = Pm-3m (221)

CIF file:
```
data_TiCd3Au
_chemical_formula_sum 'Ti1 Cd3 Au1'
_symmetry_space_group_name_H-M 'P 1'
_symmetry_Int_Tables_number 1
_symmetry_space_group_name_Hall 'P 1'
_cell_length_a 5.201
_cell_length_b 5.201
_cell_length_c 5.201
_cell_angle_alpha 90.00
_cell_angle_beta 90.00
_cell_angle_gamma 90.00
loop_
_atom_site_label
_atom_site_type_symbol
_atom_site_fract_x
_atom_site_fract_y
_atom_site_fract_z
_atom_site_occupancy
Ti1 Ti 0.000 0.000 0.000 1
Cd1 Cd 0.500 0.000 0.000 1
Cd2 Cd 0.000 0.000 0.500 1
Cd3 Cd 0.000 0.500 0.000 1
Au1 Au 0.500 0.500 0.500 1
```


6.
TlCdAu2 at its PBEsol-relaxed geometry, computed with meta-GGA SCAN.

Calculated values
final energy = -60.367 eV per atom
E_form = -9.2 kJ/mol of atoms
theoretical density = 14.42 g/cm³
total magnetic moment = 0.00 μB/atom
SG = Amm2 (38)

CIF file:
```
data_TlCdAu2
_chemical_formula_sum 'Tl1 Cd1 Au2'
_symmetry_space_group_name_H-M 'P 1'
_symmetry_Int_Tables_number 1
_symmetry_space_group_name_Hall 'P 1'
_cell_length_a 3.414
_cell_length_b 4.481
_cell_length_c 5.616
_cell_angle_alpha 90.00
_cell_angle_beta 107.70
_cell_angle_gamma 90.00
loop_
_atom_site_label
_atom_site_type_symbol
_atom_site_fract_x
_atom_site_fract_y
_atom_site_fract_z
_atom_site_occupancy
Cd1 Cd 0.100 0.000 0.200 1
Au1 Au 0.829 0.000 0.658 1
Au2 Au 0.667 0.500 0.334 1
Tl1 Tl 0.406 0.500 0.813 1
```


7.
Tl2CdAu at its PBEsol-relaxed geometry, computed with meta-GGA SCAN.

Calculated values
final energy = -61.111 eV per atom
E_form = -3.7 kJ/mol of atoms
theoretical density = 11.89 g/cm³
total magnetic moment = 0.00 μB/atom
SG = Immm (71)

CIF file:
```
data_Tl2CdAu
_chemical_formula_sum 'Tl2 Cd1 Au1'
_symmetry_space_group_name_H-M 'P 1'
_symmetry_Int_Tables_number 1
_symmetry_space_group_name_Hall 'P 1'
_cell_length_a 3.225
_cell_length_b 4.566
_cell_length_c 7.360
_cell_angle_alpha 108.07
_cell_angle_beta 102.66
_cell_angle_gamma 90.00
loop_
_atom_site_label
_atom_site_type_symbol
_atom_site_fract_x
_atom_site_fract_y
_atom_site_fract_z
_atom_site_occupancy
Tl1 Tl 0.814 0.814 0.627 1
Tl2 Tl 0.186 0.186 0.373 1
Au1 Au 0.500 0.000 0.000 1
Cd1 Cd 0.000 0.500 0.000 1
```


8.
TlCdAu2 at its PBEsol-relaxed geometry, computed with meta-GGA SCAN.

Calculated values
final energy = -60.333 eV per atom
E_form = -5.9 kJ/mol of atoms
theoretical density = 14.80 g/cm³
total magnetic moment = 0.00 μB/atom
SG = P4/mmm (123)

CIF file:
```
data_TlCdAu2
_chemical_formula_sum 'Tl1 Cd1 Au2'
_symmetry_space_group_name_H-M 'P 1'
_symmetry_Int_Tables_number 1
_symmetry_space_group_name_Hall 'P 1'
_cell_length_a 3.417
_cell_length_b 3.417
_cell_length_c 6.830
_cell_angle_alpha 90.00
_cell_angle_beta 90.00
_cell_angle_gamma 90.00
loop_
_atom_site_label
_atom_site_type_symbol
_atom_site_fract_x
_atom_site_fract_y
_atom_site_fract_z
_atom_site_occupancy
Tl1 Tl 0.500 0.500 0.500 1
Au1 Au 0.000 0.000 0.775 1
Au2 Au 0.000 0.000 0.225 1
Cd1 Cd 0.500 0.500 0.000 1
```


9.
Tl2CdAu at its PBEsol-relaxed geometry, computed with meta-GGA SCAN.

Calculated values
final energy = -61.067 eV per atom
E_form = 0.5 kJ/mol of atoms
theoretical density = 12.60 g/cm³
total magnetic moment = 0.00 μB/atom
SG = Imm2 (44)

CIF file:
```
data_Tl2CdAu
_chemical_formula_sum 'Tl2 Cd1 Au1'
_symmetry_space_group_name_H-M 'P 1'
_symmetry_Int_Tables_number 1
_symmetry_space_group_name_Hall 'P 1'
_cell_length_a 3.215
_cell_length_b 5.426
_cell_length_c 6.274
_cell_angle_alpha 115.62
_cell_angle_beta 104.85
_cell_angle_gamma 90.00
loop_
_atom_site_label
_atom_site_type_symbol
_atom_site_fract_x
_atom_site_fract_y
_atom_site_fract_z
_atom_site_occupancy
Tl1 Tl 0.991 0.991 0.982 1
Tl2 Tl 0.777 0.277 0.555 1
Au1 Au 0.510 0.510 0.019 1
Cd1 Cd 0.222 0.722 0.443 1
```


10.
Tl2CdAu at its PBEsol-relaxed geometry, computed with meta-GGA SCAN.

Calculated values
final energy = -61.067 eV per atom
E_form = 0.4 kJ/mol of atoms
theoretical density = 12.60 g/cm³
total magnetic moment = 0.00 μB/atom
SG = R3m (160)

CIF file:
```
data_Tl2CdAu
_chemical_formula_sum 'Tl2 Cd1 Au1'
_symmetry_space_group_name_H-M 'P 1'
_symmetry_Int_Tables_number 1
_symmetry_space_group_name_Hall 'P 1'
_cell_length_a 3.370
_cell_length_b 3.370
_cell_length_c 9.822
_cell_angle_alpha 80.12
_cell_angle_beta 80.12
_cell_angle_gamma 60.00
loop_
_atom_site_label
_atom_site_type_symbol
_atom_site_fract_x
_atom_site_fract_y
_atom_site_fract_z
_atom_site_occupancy
Tl1 Tl 0.995 0.995 0.014 1
Tl2 Tl 0.760 0.760 0.719 1
Cd1 Cd 0.241 0.241 0.278 1
Au1 Au 0.504 0.504 0.488 1
```


11.
Tl2CdAu at its PBEsol-relaxed geometry, computed with meta-GGA SCAN.

Calculated values
final energy = -61.016 eV per atom
E_form = 5.4 kJ/mol of atoms
theoretical density = 12.89 g/cm³
total magnetic moment = 0.00 μB/atom
SG = Pmmm (47)

CIF file:
```
data_Tl2CdAu
_chemical_formula_sum 'Tl2 Cd1 Au1'
_symmetry_space_group_name_H-M 'P 1'
_symmetry_Int_Tables_number 1
_symmetry_space_group_name_Hall 'P 1'
_cell_length_a 4.258
_cell_length_b 4.655
_cell_length_c 4.667
_cell_angle_alpha 90.00
_cell_angle_beta 90.00
_cell_angle_gamma 90.00
loop_
_atom_site_label
_atom_site_type_symbol
_atom_site_fract_x
_atom_site_fract_y
_atom_site_fract_z
_atom_site_occupancy
Tl1 Tl 0.000 0.500 0.500 1
Tl2 Tl 0.000 0.000 0.000 1
Cd1 Cd 0.500 0.000 0.500 1
Au1 Au 0.500 0.500 0.000 1
```


12.
TlCd3Au at its PBEsol-relaxed geometry, computed with meta-GGA SCAN.

Calculated values
final energy = -46.037 eV per atom
E_form = 49.7 kJ/mol of atoms
theoretical density = 8.16 g/cm³
total magnetic moment = 0.00 μB/atom
SG = Pm-3m (221)

CIF file:
```
data_TlCd3Au
_chemical_formula_sum 'Tl1 Cd3 Au1'
_symmetry_space_group_name_H-M 'P 1'
_symmetry_Int_Tables_number 1
_symmetry_space_group_name_Hall 'P 1'
_cell_length_a 5.318
_cell_length_b 5.318
_cell_length_c 5.318
_cell_angle_alpha 90.00
_cell_angle_beta 90.00
_cell_angle_gamma 90.00
loop_
_atom_site_label
_atom_site_type_symbol
_atom_site_fract_x
_atom_site_fract_y
_atom_site_fract_z
_atom_site_occupancy
Cd1 Cd 0.000 0.000 0.500 1
Cd2 Cd 0.000 0.500 0.000 1
Cd3 Cd 0.500 0.000 0.000 1
Au1 Au 0.500 0.500 0.500 1
Tl1 Tl 0.000 0.000 0.000 1
```


13.
Tl2CdAu at its PBEsol-relaxed geometry, computed with meta-GGA SCAN.

Calculated values
final energy = -61.084 eV per atom
E_form = -1.2 kJ/mol of atoms
theoretical density = 12.61 g/cm³
total magnetic moment = 0.00 μB/atom
SG = Pm (6)

CIF file:
```
data_Tl2CdAu
_chemical_formula_sum 'Tl2 Cd1 Au1'
_symmetry_space_group_name_H-M 'P 1'
_symmetry_Int_Tables_number 1
_symmetry_space_group_name_Hall 'P 1'
_cell_length_a 3.744
_cell_length_b 4.593
_cell_length_c 5.807
_cell_angle_alpha 90.00
_cell_angle_beta 108.66
_cell_angle_gamma 90.00
loop_
_atom_site_label
_atom_site_type_symbol
_atom_site_fract_x
_atom_site_fract_y
_atom_site_fract_z
_atom_site_occupancy
Tl1 Tl 0.031 0.000 0.936 1
Tl2 Tl 0.722 0.500 0.318 1
Cd1 Cd 0.448 0.500 0.773 1
Au1 Au 0.299 0.000 0.473 1
```


14.
TmCdAu at its PBEsol-relaxed geometry, computed with meta-GGA SCAN.

Calculated values
final energy = -51.297 eV per atom
E_form = -80.1 kJ/mol of atoms
theoretical density = 12.48 g/cm³
total magnetic moment = 0.00 μB/atom
SG = P-62m (189)

CIF file:
```
data_TmCdAu
_chemical_formula_sum 'Tm3 Cd3 Au3'
_symmetry_space_group_name_H-M 'P 1'
_symmetry_Int_Tables_number 1
_symmetry_space_group_name_Hall 'P 1'
_cell_length_a 3.853
_cell_length_b 7.564
_cell_length_c 7.564
_cell_angle_alpha 120.00
_cell_angle_beta 90.00
_cell_angle_gamma 90.00
loop_
_atom_site_label
_atom_site_type_symbol
_atom_site_fract_x
_atom_site_fract_y
_atom_site_fract_z
_atom_site_occupancy
Cd1 Cd 0.500 0.262 0.000 1
Cd2 Cd 0.500 0.738 0.738 1
Cd3 Cd 0.500 0.000 0.262 1
Tm1 Tm 0.000 0.597 0.000 1
Tm2 Tm 0.000 0.403 0.403 1
Tm3 Tm 0.000 0.000 0.597 1
Au1 Au 0.000 0.000 0.000 1
Au2 Au 0.500 0.667 0.333 1
Au3 Au 0.500 0.333 0.667 1
```


15.
TmCdAu2 at its PBEsol-relaxed geometry, computed with meta-GGA SCAN.

Calculated values
final energy = -55.964 eV per atom
E_form = -79.5 kJ/mol of atoms
theoretical density = 14.37 g/cm³
total magnetic moment = 0.00 μB/atom
SG = Fm-3m (225)

CIF file:
```
data_TmCdAu2
_chemical_formula_sum 'Tm1 Cd1 Au2'
_symmetry_space_group_name_H-M 'P 1'
_symmetry_Int_Tables_number 1
_symmetry_space_group_name_Hall 'P 1'
_cell_length_a 4.796
_cell_length_b 4.796
_cell_length_c 4.796
_cell_angle_alpha 60.00
_cell_angle_beta 60.00
_cell_angle_gamma 60.00
loop_
_atom_site_label
_atom_site_type_symbol
_atom_site_fract_x
_atom_site_fract_y
_atom_site_fract_z
_atom_site_occupancy
Au1 Au 0.250 0.250 0.250 1
Au2 Au 0.750 0.750 0.750 1
Tm1 Tm 0.000 0.000 0.000 1
Cd1 Cd 0.500 0.500 0.500 1
```


What Fermi-level density of states values result from the calculations? In sequence: 0.60; 0.48; 0.26; 0.53; 0.70; 0.26; 0.37; 0.28; 0.32; 0.28; 0.22; 0.02; 0.34; 0.64; 0.46 states/eV/atom.